## Ba4Cu (PBE)

Data for a relaxed structure of Ba4Cu.

POSCAR file:
```
Ba4Cu
1.0
6.5108 0.0000 0.0000
0.0000 6.5108 0.0000
0.0000 0.0000 6.5108
Ba Cu
4 1
Direct
0.0000 0.5000 0.5000
0.5000 0.0000 0.5000
0.0000 0.0000 0.0000
0.5000 0.5000 0.0000
0.5000 0.5000 0.5000
```

Properties
energy of formation from the pure elements	0.092	eV per formula unit
size of the total moment	0.000	μB per formula unit
E	-11.695	eV/cell
space-group type	Pm-3m (221)